(1)
GaPRuAu2S after structural relaxation. Source: the Alexandria database, functional PBE.

Cell lengths 5.8769, 2.9561, 6.7010 Å; angles 90.00, 112.84, 90.00 degrees
Last column: nearest neighbours and their distance in Å.
Space group Pm (No. 6)
Unique sites:
Ga 0.0000 0.0000 0.0000 x1  1 S 2.38, 1 Au 2.65
P 0.3897 0.0000 0.4514 x1  2 Ru 2.37, 3 Au 2.40-2.56
Ru 0.4081 0.5000 0.1824 x1  2 P 2.37, 2 S 2.37
Au 0.2422 0.0000 0.7391 x1  1 P 2.40, 1 Ga 2.65
Au 0.7672 0.5000 0.6433 x1  2 P 2.56, 2 Ga 2.69
S 0.7218 0.0000 0.1798 x1  2 Ru 2.37, 1 Ga 2.38

E_form (uncorrected), eV/atom: -0.08
Crystal system: monoclinic
DFT total energy, eV/atom: -4.808
Total moment, μB per cell: 0.00

(2)
YZrSi2O8 after structural relaxation. Source: the Alexandria database, functional PBE.

Cell lengths 6.8667, 6.8667, 6.1222 Å; angles 90.00, 90.00, 90.00 degrees
Last column: nearest neighbours and their distance in Å.
Space group I-4m2 (No. 119)
Unique sites:
Y 0.0000 0.0000 0.0000 x2  8 O 2.26-2.41
Zr 0.0000 0.5000 0.2500 x2  8 O 2.20-2.31
Si 0.0000 0.0000 0.5000 x2  4 O 1.65
Si 0.0000 0.5000 0.7500 x2  4 O 1.64
O 0.0000 0.1882 0.3332 x8  1 Si 1.65
O 0.0000 0.3235 0.9295 x8  1 Si 1.64

E_form (uncorrected), eV/atom: -2.92
Crystal system: tetragonal
DFT total energy, eV/atom: -8.383
Total moment, μB per cell: 1.31

(3)
LuInGa after structural relaxation. Source: the Alexandria database, functional PBE.

Cell lengths 4.7293, 4.7293, 3.4088 Å; angles 90.00, 90.00, 120.00 degrees
Last column: nearest neighbours and their distance in Å.
Space group P-6m2 (No. 187)
Unique sites:
Lu 0.0000 0.0000 0.0000 x1  6 In 3.22, 6 Ga 3.22, 2 Lu 3.41
In 0.6667 0.3333 0.5000 x1  3 Ga 2.73
Ga 0.3333 0.6667 0.5000 x1  3 In 2.73

Crystal system: hexagonal
DFT total energy, eV/atom: -3.817
Total moment, μB per cell: 0.00